# 1
Here is crystalline RbEuSiS4 at its relaxed geometry from the Alexandria database. Energies are from PBE.

Values from the calculation:
The calculation puts the formation energy from raw total energies at -1262 meV/atom. The symmetry is No. 19. As for the calculated volume: 778 Å³/cell.

Cell: 6.6374 6.7238 17.4350 Å, 90.00 90.00 90.00°
Fractional positions:
Rb 0.0307 0.0025 0.0336
Rb 0.4693 0.9975 0.5336
Rb 0.5307 0.4975 0.9664
Rb 0.9693 0.5025 0.4664
Eu 0.2092 0.0311 0.7756
Eu 0.2908 0.9689 0.2756
Eu 0.7092 0.4689 0.2244
Eu 0.7908 0.5311 0.7244
Si 0.2094 0.5125 0.1627
Si 0.2906 0.4875 0.6627
Si 0.7094 0.9875 0.8373
Si 0.7906 0.0125 0.3373
S 0.0427 0.0099 0.4112
S 0.0762 0.2579 0.6398
S 0.1121 0.5606 0.2780
S 0.1143 0.7517 0.6495
S 0.3857 0.2483 0.1495
S 0.3879 0.4394 0.7780
S 0.4238 0.7421 0.1398
S 0.4573 0.9901 0.9112
S 0.5427 0.4901 0.5888
S 0.5762 0.2421 0.3602
S 0.6121 0.9394 0.7220
S 0.6143 0.7483 0.3505
S 0.8857 0.2517 0.8505
S 0.8879 0.0606 0.2220
S 0.9238 0.7579 0.8602
S 0.9573 0.5099 0.0888



# 2
Here is crystalline In12BiPb7 at its relaxed geometry from the Alexandria database. Energies are from PBE.

Values from the calculation:
For the formation energy, the calculation gives 0.05 eV per atom. The symmetry is No. 2. As for the calculated volume: 602 Å³/cell.

Cell: 7.3286 8.5585 10.2934 Å, 107.07 98.39 96.68°
Fractional positions:
In 0.0192 0.1603 0.2949
In 0.1342 0.8225 0.4176
In 0.2766 0.8598 0.1547
In 0.3195 0.4983 0.2857
In 0.3851 0.8117 0.8653
In 0.4594 0.1911 0.4173
In 0.5406 0.8089 0.5827
In 0.6149 0.1883 0.1347
In 0.6805 0.5017 0.7143
In 0.7234 0.1402 0.8453
In 0.8658 0.1775 0.5824
In 0.9808 0.8397 0.7051
Bi 0.5000 0.5000 0.0000
Pb 0.0000 0.5000 0.0000
Pb 0.1761 0.1561 0.0042
Pb 0.2018 0.4901 0.5946
Pb 0.3094 0.1641 0.7009
Pb 0.6906 0.8359 0.2991
Pb 0.7982 0.5099 0.4054
Pb 0.8239 0.8439 0.9958



Raw total energy values, unit eV/f.u., following the record order: -42.01, -61.71.